1.
Computed, not measured: a relaxed La3Co4 crystal at the GGA-PBE level of DFT.

a = 4.013 Å, b = 4.184 Å, c = 9.288 Å
α = 103.02°, β = 102.48°, γ = 89.96°
Positions (direct):
Co (0.066, 0.566, 0.132)
Co (0.934, 0.434, 0.868)
Co (0.370, 0.370, 0.740)
Co (0.630, 0.630, 0.260)
La (0.500, 0.000, 0.000)
La (0.817, 0.817, 0.633)
La (0.183, 0.183, 0.367)

Values from the calculation:
DFT formation energy: -7.0 kJ per mole of atoms
Total moment: 1.8 μB/f.u.
Distance to the lowest polymorph of the same formula: 0.0 meV per atom
Space-group type: Immm (71)

2.
Computed, not measured: a relaxed Sb2Ru3 crystal at the GGA-PBE level of DFT.

a = 4.342 Å, b = 4.342 Å, c = 5.570 Å
α = 90.00°, β = 90.00°, γ = 120.00°
Positions (direct):
Ru (0.000, 0.000, 0.000)
Ru (0.333, 0.667, 0.320)
Ru (0.667, 0.333, 0.680)
Sb (0.333, 0.667, 0.792)
Sb (0.667, 0.333, 0.208)

Values from the calculation:
Total moment: 0.0 μB/f.u.
Energy relative to the elements, uncorrected: 0.13 eV/atom
Space-group type: P-3m1 (164)

Please write out number 2 again, unchanged.
Computed, not measured: a relaxed Sb2Ru3 crystal at the GGA-PBE level of DFT.

a = 4.342 Å, b = 4.342 Å, c = 5.570 Å
α = 90.00°, β = 90.00°, γ = 120.00°
Positions (direct):
Ru (0.000, 0.000, 0.000)
Ru (0.333, 0.667, 0.320)
Ru (0.667, 0.333, 0.680)
Sb (0.333, 0.667, 0.792)
Sb (0.667, 0.333, 0.208)

Values from the calculation:
Total moment: 0.0 μB/f.u.
Energy relative to the elements, uncorrected: 0.13 eV/atom
Space-group type: P-3m1 (164)